A plane-wave DFT calculation with PBE was carried out for a relaxed structure of Y6Pb2N.

Structure (POSCAR):
```
Y6Pb2N
1.0
6.480 0.000 0.000
0.000 7.974 0.000
-6.195 0.000 9.684
Y Pb N
12 4 2
Direct
0.135 0.156 0.457
0.135 0.344 0.957
0.310 0.720 0.454
0.310 0.780 0.954
0.358 0.027 0.253
0.358 0.473 0.753
0.642 0.527 0.247
0.642 0.973 0.747
0.690 0.220 0.046
0.690 0.280 0.546
0.865 0.656 0.043
0.865 0.844 0.543
0.190 0.104 0.763
0.190 0.396 0.263
0.810 0.604 0.737
0.810 0.896 0.237
0.500 0.000 0.500
0.500 0.500 0.000
```

The calculation puts the formation energy (no corrections) at -598 meV/atom. The uncorrected energy is -6.656 eV per atom.

A plane-wave DFT calculation with PBE was carried out for a relaxed structure of Y3PbN.

Structure (POSCAR):
```
Y3PbN
1.0
-2.609 2.609 11.963
2.609 -2.609 11.963
2.609 2.609 -11.963
Y Pb N
6 2 2
Direct
0.189 0.189 0.000
0.375 0.139 0.763
0.375 0.612 0.237
0.388 0.625 0.763
0.811 0.811 0.000
0.861 0.625 0.237
0.250 0.750 0.500
0.500 0.500 0.000
0.651 0.151 0.500
0.849 0.349 0.500
```

The calculation puts the formation energy (no corrections) at 708 meV/atom. The uncorrected energy is -5.578 eV per atom.

Q: Which of these has the highest uncorrected energy?
A: Y3PbN